(1)
Below is a geometry-optimized Ba2SnI structure, with properties calculated at the PBE-GGA level.

N(E_F)   0.473 states/eV/atom
ΔE_f (raw)   -1.0089 eV per atom
E   -13.434 eV/cell
E above lowest polymorph   2.15 kJ per mole of atoms

Cell: 4.172 4.172 9.295 Å, 90.00 90.00 90.00°
Fractional positions:
I  0.500  0.500  0.500
Ba  0.000  0.000  0.772
Ba  0.000  0.000  0.228
Sn  0.500  0.500  0.000

(2)
Below is a geometry-optimized Ba4SnI5 structure, with properties calculated at the PBE-GGA level.

N(E_F)   0.650 states/eV/atom
ΔE_f (raw)   -1.4539 eV per atom
E   -33.984 eV/cell

Cell: 4.885 10.504 11.345 Å, 107.12 102.43 90.00°
Last column: magnetic moment on the atom in μB.
Fractional positions:
Ba  0.334  0.887  0.667  0.01
Ba  0.997  0.750  0.995  0.01
Ba  0.666  0.113  0.333  0.01
Ba  0.003  0.250  0.005  0.01
Sn  0.500  0.000  0.000  0.09
I  0.831  0.654  0.663  0.00
I  0.832  0.132  0.665  0.00
I  0.168  0.868  0.335  0.00
I  0.500  0.500  0.000  0.00
I  0.169  0.346  0.337  0.00

(3)
Below is a geometry-optimized Ba2SnI structure, with properties calculated at the PBE-GGA level.

N(E_F)   0.133 states/eV/atom
ΔE_f (raw)   -1.0311 eV per atom
E   -54.092 eV/cell
E above lowest polymorph   0.00 kJ per mole of atoms

Cell: 7.124 7.194 14.020 Å, 101.30 90.00 90.00°
Fractional positions:
Ba  0.749  0.973  0.893
Ba  0.251  0.027  0.107
Ba  0.749  0.527  0.607
Ba  0.251  0.473  0.393
Ba  0.751  0.564  0.126
Ba  0.249  0.436  0.874
Ba  0.751  0.936  0.374
Ba  0.249  0.064  0.626
Sn  0.249  0.593  0.655
Sn  0.751  0.407  0.345
Sn  0.249  0.907  0.845
Sn  0.751  0.093  0.155
I  0.251  0.964  0.370
I  0.749  0.036  0.630
I  0.251  0.536  0.130
I  0.749  0.464  0.870

(4)
Below is a geometry-optimized Ba2SnI structure, with properties calculated at the PBE-GGA level.

N(E_F)   0.758 states/eV/atom
ΔE_f (raw)   -0.6880 eV per atom
E   -24.301 eV/cell
E above lowest polymorph   33.11 kJ per mole of atoms

Cell: 7.660 7.660 10.150 Å, 67.83 67.83 90.00°
Last column: magnetic moment on the atom in μB.
Fractional positions:
I  0.000  0.000  0.000  0.00
I  0.750  0.250  0.500  0.00
Ba  0.603  0.125  0.250  0.05
Ba  0.147  0.625  0.250  0.05
Ba  0.375  0.397  0.750  0.05
Ba  0.875  0.853  0.750  0.05
Sn  0.500  0.500  0.000  0.29
Sn  0.250  0.750  0.500  0.30

(5)
Below is a geometry-optimized Ba4SnI3 structure, with properties calculated at the PBE-GGA level.

N(E_F)   0.303 states/eV/atom
ΔE_f (raw)   -1.2482 eV per atom
E   -52.660 eV/cell

Cell: 8.823 8.766 10.154 Å, 90.00 90.00 109.35°
Fractional positions:
I  0.750  0.000  0.375
I  0.250  0.000  0.625
I  0.750  0.500  0.620
I  0.750  0.500  0.134
I  0.250  0.500  0.380
I  0.250  0.500  0.866
Ba  0.983  0.235  0.637
Ba  0.501  0.228  0.890
Ba  0.483  0.235  0.363
Ba  0.001  0.228  0.110
Ba  0.999  0.772  0.890
Ba  0.517  0.765  0.637
Ba  0.499  0.772  0.110
Ba  0.017  0.765  0.363
Sn  0.750  0.000  0.869
Sn  0.250  0.000  0.131

(6)
Below is a geometry-optimized BaSnI3 structure, with properties calculated at the PBE-GGA level.

N(E_F)   1.211 states/eV/atom
ΔE_f (raw)   -0.6929 eV per atom
E   -14.040 eV/cell
E above lowest polymorph   0.00 kJ per mole of atoms

Cell: 6.203 6.203 6.203 Å, 90.00 90.00 90.00°
Fractional positions:
I  0.000  0.500  0.000
I  0.000  0.000  0.500
I  0.500  0.000  0.000
Ba  0.500  0.500  0.500
Sn  0.000  0.000  0.000

Repeat the third record exactly.
Below is a geometry-optimized Ba2SnI structure, with properties calculated at the PBE-GGA level.

N(E_F)   0.133 states/eV/atom
ΔE_f (raw)   -1.0311 eV per atom
E   -54.092 eV/cell
E above lowest polymorph   0.00 kJ per mole of atoms

Cell: 7.124 7.194 14.020 Å, 101.30 90.00 90.00°
Fractional positions:
Ba  0.749  0.973  0.893
Ba  0.251  0.027  0.107
Ba  0.749  0.527  0.607
Ba  0.251  0.473  0.393
Ba  0.751  0.564  0.126
Ba  0.249  0.436  0.874
Ba  0.751  0.936  0.374
Ba  0.249  0.064  0.626
Sn  0.249  0.593  0.655
Sn  0.751  0.407  0.345
Sn  0.249  0.907  0.845
Sn  0.751  0.093  0.155
I  0.251  0.964  0.370
I  0.749  0.036  0.630
I  0.251  0.536  0.130
I  0.749  0.464  0.870

Question: What is the ΔE_f (raw) in the second record?
Answer: -1.4539 eV per atom

Question: Which of these has the highest E?
Answer: number 1

Question: Among the records above, which one has the highest N(E_F)?
Answer: BaSnI3